1.
VASP calculation (PBE) on a relaxed PuPa4Ge crystal.

Output
Its energy is -9.405 eV per atom. As for the space-group type: No. 112. The energy relative to the elements comes out at 84 meV per atom. The calculation puts the density of states at the Fermi level at 27.862 states/eV/cell.

Cell and atoms, written as POSCAR:
```
PuPa4Ge
1.0
6.530 0.000 0.000
0.000 6.530 0.000
0.000 0.000 6.835
Pu Pa Ge
2 8 2
Cartesian
0.000 0.000 0.000 Pu
0.000 0.000 3.417 Pu
1.507 2.177 6.075 Pa
5.023 4.353 6.075 Pa
2.177 1.507 2.657 Pa
1.507 4.353 4.177 Pa
5.023 2.177 4.177 Pa
2.177 5.023 0.760 Pa
4.353 1.507 0.760 Pa
4.353 5.023 2.657 Pa
0.000 3.265 1.709 Ge
3.265 0.000 5.126 Ge
```

***

2.
VASP calculation (PBE) on a relaxed Cs2In2Sb3 crystal.

Output
Its energy is -3.170 eV per atom. As for the space-group type: No. 14. Its distance to the lowest polymorph of the same formula is 0 meV per atom. Its raw formation energy is -0.377 eV per atom.

Cell and atoms, written as POSCAR:
```
Cs2In2Sb3
1.0
7.773 0.000 0.000
0.000 16.153 -0.016
0.000 -0.196 18.379
Cs In Sb
16 16 24
Cartesian
7.339 8.931 1.891 Cs
3.453 7.124 7.283 Cs
0.434 7.026 16.473 Cs
4.320 8.833 11.081 Cs
4.117 1.047 16.364 Cs
0.231 14.812 11.189 Cs
3.655 14.910 2.000 Cs
7.542 1.145 7.174 Cs
4.222 5.417 18.048 Cs
0.335 10.442 9.506 Cs
3.551 10.540 0.316 Cs
7.438 5.515 8.858 Cs
7.583 13.846 0.070 Cs
3.697 2.209 9.105 Cs
0.190 2.111 18.294 Cs
4.076 13.748 9.259 Cs
5.767 6.408 13.621 In
5.892 6.506 4.432 In
2.006 9.549 4.743 In
1.881 9.451 13.932 In
5.949 2.889 3.355 In
2.063 13.166 5.819 In
1.823 13.068 15.009 In
5.710 2.791 12.545 In
6.155 14.601 4.922 In
2.269 1.453 4.252 In
1.618 1.355 13.442 In
5.504 14.504 14.112 In
1.712 4.948 12.411 In
6.060 11.009 5.952 In
5.599 10.911 15.142 In
2.174 5.045 3.222 In
7.269 5.238 2.186 Sb
0.504 10.719 16.178 Sb
3.383 10.817 6.988 Sb
4.390 5.140 11.375 Sb
5.187 4.028 5.946 Sb
1.300 12.027 3.228 Sb
2.586 11.929 12.418 Sb
6.472 3.930 15.136 Sb
0.348 7.531 12.258 Sb
4.234 8.328 15.295 Sb
7.425 8.425 6.106 Sb
3.538 7.629 3.068 Sb
1.580 3.793 15.069 Sb
2.306 3.891 5.880 Sb
6.193 12.164 3.295 Sb
5.467 12.066 12.484 Sb
4.165 0.319 12.434 Sb
0.279 15.540 15.119 Sb
3.607 15.638 5.929 Sb
7.494 0.417 3.245 Sb
0.413 2.568 11.086 Sb
4.300 13.291 16.467 Sb
7.359 13.389 7.277 Sb
3.473 2.666 1.897 Sb
```

***

3.
VASP calculation (PBE) on a relaxed MgIn2Rh crystal.

Output
Its energy is -3.746 eV per atom. As for the space-group type: No. 65. The energy relative to the elements comes out at -141 meV per atom. The calculation puts the density of states at the Fermi level at 2.145 states/eV/cell.

Cell and atoms, written as POSCAR:
```
MgIn2Rh
1.0
-4.756 -1.619 -0.278
2.505 -2.844 3.311
-0.819 2.003 2.340
In Mg Rh
2 1 1
Cartesian
0.000 0.000 0.000 In
-1.126 -2.231 1.516 In
-2.787 0.192 1.031 Mg
0.843 -0.420 2.825 Rh
```

***

4.
VASP calculation (PBE) on a relaxed Li2AcH8Pt crystal.

Output
Its energy is -3.818 eV per atom. As for the space-group type: No. 10. The calculation puts the density of states at the Fermi level at 1.276 states/eV/cell.

Cell and atoms, written as POSCAR:
```
Li2AcH8Pt
1.0
-3.671 0.027 2.722
-1.946 -3.728 -2.588
0.355 -7.113 0.549
Li Ac H Pt
2 1 8 1
Cartesian
-2.064 -6.241 1.115 Li
-3.198 -4.572 -0.431 Li
0.177 -3.556 0.275 Ac
-1.185 -4.838 -1.550 H
-3.855 -9.875 0.659 H
-3.248 -0.925 1.389 H
-4.077 -5.976 2.234 H
-1.407 -0.938 0.025 H
-2.015 -9.889 -0.705 H
-3.155 -6.406 -0.354 H
-2.108 -4.408 1.038 H
0.000 0.000 0.000 Pt
```